Below is a relaxed Ca2ZnIn crystal, with properties calculated at the PBE-GGA level.

Energy relative to the elements: -0.186 eV/atom
Total energy: -2.1902 eV/atom

abc: 3.6716 3.6716 8.5849
angles: 90.00 90.00 90.00
Space group P4mm (No. 99)
Unique sites:
Ca1 0.0000 0.0000 0.0000 (multiplicity 1)
Ca2 0.5000 0.5000 0.3593 (multiplicity 1)
Zn1 0.5000 0.5000 0.7859 (multiplicity 1)
In1 0.0000 0.0000 0.6087 (multiplicity 1)